Below is a geometry-optimized Sb2PSe structure, with properties calculated at the PBE level.

Output
Total energy, eV per atom: -4.263
ΔE_f (raw), meV per atom: 22
Spin magnetization, μB/atom: 0.000
Polymorph energy (0 for the lowest one), kJ per mole of atoms: 0.00

```
Sb2PSe
1.0
8.892 0.000 0.000
0.000 3.902 0.000
-2.647 0.000 12.791
Sb P Se
8 4 4
Direct
0.041 0.000 0.158 Sb
0.191 0.525 0.626 Sb
0.263 0.019 0.366 Sb
0.435 0.845 0.120 Sb
0.565 0.345 0.880 Sb
0.737 0.519 0.634 Sb
0.809 0.025 0.374 Sb
0.959 0.500 0.842 Sb
0.101 0.520 0.421 P
0.163 0.503 0.071 P
0.837 0.003 0.929 P
0.899 0.020 0.579 P
0.343 0.922 0.912 Se
0.403 0.027 0.635 Se
0.597 0.527 0.365 Se
0.657 0.422 0.088 Se
```